Record 1
First-principles (PBE-GGA) data for a geometry-optimized SrAcGaSn structure, as listed in the Alexandria database.

Values from the calculation:
Space-group type: No. 216
Total moment in μB/cell: 0.00
Formation energy from the elements in eV/atom: -0.49

abc: 5.666 5.666 5.666
angles: 60.00 60.00 60.00
Positions (direct):
Sr  0.500  0.500  0.500
Ac  0.000  0.000  0.000
Sn  0.250  0.250  0.250
Ga  0.750  0.750  0.750

---

Record 2
First-principles (PBE-GGA) data for a geometry-optimized AcTbGaSn structure, as listed in the Alexandria database.

Values from the calculation:
Space-group type: No. 216
Total moment in μB/cell: 0.00
Formation energy from the elements in eV/atom: -0.50

abc: 5.474 5.474 5.474
angles: 60.00 60.00 60.00
Positions (direct):
Ac  0.500  0.500  0.500
Tb  0.000  0.000  0.000
Sn  0.250  0.250  0.250
Ga  0.750  0.750  0.750

---

Record 3
First-principles (PBE-GGA) data for a geometry-optimized Ac4GaSnTe2 structure, as listed in the Alexandria database.

Values from the calculation:
Space-group type: No. 10
Total moment in μB/cell: 0.00
E_form (uncorrected) in meV per atom: -1023

abc: 4.703 8.108 8.455
angles: 108.77 90.00 90.00
Positions (direct):
Ac  0.500  0.250  0.238
Ac  0.500  0.750  0.762
Ac  0.000  0.258  0.763
Ac  0.000  0.742  0.237
Ga  0.500  0.500  0.000
Sn  0.000  0.000  0.000
Te  0.500  0.000  0.500
Te  0.000  0.500  0.500

---

Number 1: energy -3.698 eV/atom, mass density 6496 kg/m3. Number 2: energy -4.442 eV/atom, mass density 8224 kg/m3. Number 3: energy -4.741 eV/atom, mass density 7353 kg/m3.